Record 1
Below is a relaxed ScTc2Os crystal, with properties calculated at the PBE-GGA level.

Unit cell a=2.801 b=4.393 c=5.139 alpha=90.00 beta=99.46 gamma=90.00
Positions (direct):
Sc 0.000 0.000 0.000
Tc 0.575 0.000 0.498
Tc 0.702 0.500 0.252
Os 0.257 0.500 0.738

offset from the most stable computed form: 87 meV/atom
calculated formation energy: 2.8 kJ/mol of atoms

***

Record 2
Below is a relaxed Cs12Cd2Au5 crystal, with properties calculated at the PBE-GGA level.

Unit cell a=11.657 b=11.657 c=11.996 alpha=104.41 beta=104.41 gamma=47.17
Positions (direct):
Cs 0.003 0.003 0.215
Cs 0.045 0.592 0.395
Cs 0.104 0.586 0.932
Cs 0.408 0.955 0.605
Cs 0.414 0.896 0.068
Cs 0.485 0.485 0.695
Cs 0.515 0.515 0.305
Cs 0.586 0.104 0.932
Cs 0.592 0.045 0.395
Cs 0.896 0.414 0.068
Cs 0.955 0.408 0.605
Cs 0.997 0.997 0.785
Cd 0.157 0.843 0.500
Cd 0.843 0.157 0.500
Au 0.186 0.186 0.322
Au 0.200 0.200 0.871
Au 0.500 0.500 0.000
Au 0.800 0.800 0.129
Au 0.814 0.814 0.678

calculated formation energy: -14.6 kJ/mol of atoms

***

Record 3
Below is a relaxed CsAsS2Cl crystal, with properties calculated at the PBE-GGA level.

Unit cell a=4.857 b=4.857 c=5.604 alpha=90.00 beta=90.00 gamma=90.00
Positions (direct):
Cs 0.000 0.000 0.000
As 0.500 0.500 0.500
S 0.000 0.500 0.500
S 0.500 0.000 0.500
Cl 0.500 0.500 0.000

offset from the most stable computed form: 0 meV/atom
uncorrected formation energy: -0.48 eV/atom

***

Record 4
Below is a relaxed K2NiPt crystal, with properties calculated at the PBE-GGA level.

Unit cell a=4.343 b=4.343 c=5.396 alpha=90.00 beta=90.00 gamma=90.00
Positions (direct):
K 0.000 0.000 0.248
K 0.000 0.000 0.752
Ni 0.500 0.500 0.500
Pt 0.500 0.500 0.000

offset from the most stable computed form: 467 meV/atom
calculated formation energy: 54.3 kJ/mol of atoms

***

Record 5
Below is a relaxed Pm2Er3Tm3 crystal, with properties calculated at the PBE-GGA level.

Unit cell a=10.581 b=10.581 c=10.581 alpha=152.63 beta=152.63 gamma=39.10
Positions (direct):
Pm 0.250 0.250 0.000
Pm 0.750 0.750 0.000
Er 0.000 0.000 0.000
Er 0.377 0.877 0.500
Er 0.623 0.123 0.500
Tm 0.123 0.623 0.500
Tm 0.500 0.500 0.000
Tm 0.877 0.377 0.500

offset from the most stable computed form: 0 meV/atom
calculated formation energy: 2.5 kJ/mol of atoms

***

Record 6
Below is a relaxed CrAsOs crystal, with properties calculated at the PBE-GGA level.

Unit cell a=4.098 b=4.098 c=4.098 alpha=60.00 beta=60.00 gamma=60.00
Positions (direct):
Cr 0.000 0.000 0.000
As 0.500 0.500 0.500
Os 0.750 0.750 0.750

offset from the most stable computed form: 0 meV/atom
calculated formation energy: 11.7 kJ/mol of atoms

***

Record 7
Below is a relaxed Zr2NiSe crystal, with properties calculated at the PBE-GGA level.

Unit cell a=6.661 b=6.661 c=6.661 alpha=32.94 beta=32.94 gamma=32.94
Positions (direct):
Zr 0.000 0.000 0.000
Zr 0.208 0.208 0.208
Ni 0.768 0.768 0.768
Se 0.441 0.441 0.441

uncorrected formation energy: -0.41 eV/atom

***

Record 8
Below is a relaxed PrGaBr crystal, with properties calculated at the PBE-GGA level.

Unit cell a=21.350 b=3.920 c=4.002 alpha=90.00 beta=90.00 gamma=90.00
Positions (direct):
Pr 0.117 0.250 0.249
Pr 0.383 0.750 0.749
Pr 0.617 0.250 0.251
Pr 0.883 0.750 0.751
Ga 0.001 0.250 0.750
Ga 0.499 0.750 0.250
Ga 0.501 0.250 0.750
Ga 0.999 0.750 0.250
Br 0.181 0.750 0.749
Br 0.319 0.250 0.249
Br 0.681 0.750 0.751
Br 0.819 0.250 0.251

uncorrected formation energy: -1.02 eV/atom

***

Record 9
Below is a relaxed La2TbTc crystal, with properties calculated at the PBE-GGA level.

Unit cell a=10.301 b=10.301 c=10.301 alpha=20.43 beta=20.43 gamma=20.43
Positions (direct):
La 0.233 0.233 0.233
La 0.767 0.767 0.767
Tb 0.000 0.000 0.000
Tc 0.500 0.500 0.500

offset from the most stable computed form: 304 meV/atom
calculated formation energy: 25.7 kJ/mol of atoms

***

Record 10
Below is a relaxed Er3Zn2Pt crystal, with properties calculated at the PBE-GGA level.

Unit cell a=3.537 b=3.537 c=10.348 alpha=90.00 beta=90.00 gamma=90.00
Positions (direct):
Er 0.000 0.000 0.000
Er 0.000 0.000 0.341
Er 0.000 0.000 0.659
Zn 0.500 0.500 0.165
Zn 0.500 0.500 0.835
Pt 0.500 0.500 0.500

offset from the most stable computed form: 3 meV/atom
calculated formation energy: -65.5 kJ/mol of atoms

***

Record 11
Below is a relaxed LiMoBr2 crystal, with properties calculated at the PBE-GGA level.

Unit cell a=3.530 b=3.530 c=8.037 alpha=90.00 beta=90.00 gamma=124.25
Positions (direct):
Li 0.000 0.000 0.000
Mo 0.000 0.000 0.500
Br 0.500 0.500 0.239
Br 0.500 0.500 0.761

offset from the most stable computed form: 130 meV/atom
uncorrected formation energy: 0.02 eV/atom

***

Record 12
Below is a relaxed LiHoLuRe crystal, with properties calculated at the PBE-GGA level.

Unit cell a=4.870 b=4.870 c=4.870 alpha=60.00 beta=60.00 gamma=60.00
Positions (direct):
Li 0.000 0.000 0.000
Ho 0.750 0.750 0.750
Lu 0.250 0.250 0.250
Re 0.500 0.500 0.500

calculated formation energy: 3.0 kJ/mol of atoms

***

Record 13
Below is a relaxed Fe2CoTeH crystal, with properties calculated at the PBE-GGA level.

Unit cell a=4.875 b=4.875 c=4.719 alpha=90.00 beta=90.00 gamma=90.00
Positions (direct):
Fe 0.000 0.500 0.000
Fe 0.500 0.000 0.000
Co 0.000 0.000 0.500
Te 0.000 0.000 0.000
H 0.500 0.500 0.500

final energy: -22.5 eV per cell

***

Record 14
Below is a relaxed Dy3YEr6 crystal, with properties calculated at the PBE-GGA level.

Unit cell a=11.462 b=11.462 c=6.328 alpha=90.00 beta=90.00 gamma=130.97
Positions (direct):
Dy 0.079 0.921 0.500
Dy 0.203 0.458 0.105
Dy 0.458 0.203 0.605
Dy 0.542 0.797 0.105
Dy 0.797 0.542 0.605
Dy 0.921 0.079 0.000
Y 0.339 0.661 0.580
Y 0.661 0.339 0.080
Er 0.043 0.605 0.265
Er 0.121 0.243 0.526
Er 0.198 0.802 0.805
Er 0.243 0.121 0.026
Er 0.395 0.957 0.265
Er 0.486 0.514 0.779
Er 0.514 0.486 0.279
Er 0.605 0.043 0.765
Er 0.757 0.879 0.526
Er 0.802 0.198 0.305
Er 0.879 0.757 0.026
Er 0.957 0.395 0.765

offset from the most stable computed form: 0 meV/atom
calculated formation energy: 11.9 kJ/mol of atoms

***

Record 15
Below is a relaxed CeThMgTi crystal, with properties calculated at the PBE-GGA level.

Unit cell a=5.297 b=5.297 c=5.297 alpha=60.00 beta=60.00 gamma=60.00
Positions (direct):
Ce 0.000 0.000 0.000
Th 0.500 0.500 0.500
Mg 0.250 0.250 0.250
Ti 0.750 0.750 0.750

calculated formation energy: 19.7 kJ/mol of atoms

***

Record 16
Below is a relaxed Er crystal, with properties calculated at the PBE-GGA level.

Unit cell a=8.685 b=8.685 c=8.685 alpha=23.44 beta=23.44 gamma=23.44
Positions (direct):
Er 0.000 0.000 0.000
Er 0.222 0.222 0.222
Er 0.778 0.778 0.778

offset from the most stable computed form: 0 meV/atom
calculated formation energy: 0.0 kJ/mol of atoms

***

Record 17
Below is a relaxed FeSn2Rh crystal, with properties calculated at the PBE-GGA level.

Unit cell a=9.354 b=9.354 c=9.354 alpha=153.74 beta=153.74 gamma=37.48
Positions (direct):
Fe 0.000 0.000 0.000
Fe 0.750 0.250 0.500
Sn 0.122 0.625 0.997
Sn 0.375 0.372 0.497
Sn 0.628 0.125 0.003
Sn 0.875 0.878 0.503
Rh 0.250 0.750 0.500
Rh 0.500 0.500 0.000

calculated formation energy: 26.4 kJ/mol of atoms

***

Record 18
Below is a relaxed Li2Ce2ErO6 crystal, with properties calculated at the PBE-GGA level.

Unit cell a=6.576 b=6.576 c=6.576 alpha=52.85 beta=52.85 gamma=52.85
Positions (direct):
Li 0.073 0.073 0.073
Li 0.927 0.927 0.927
Ce 0.313 0.313 0.313
Ce 0.687 0.687 0.687
Er 0.500 0.500 0.500
O 0.251 0.251 0.708
O 0.251 0.708 0.251
O 0.292 0.749 0.749
O 0.708 0.251 0.251
O 0.749 0.292 0.749
O 0.749 0.749 0.292

uncorrected formation energy: -2.69 eV/atom

***

Record 19
Below is a relaxed Mg6CrSi crystal, with properties calculated at the PBE-GGA level.

Unit cell a=4.910 b=6.164 c=6.164 alpha=58.76 beta=90.00 gamma=90.00
Positions (direct):
Mg 0.000 0.000 0.000
Mg 0.000 0.009 0.504
Mg 0.000 0.500 0.500
Mg 0.000 0.504 0.009
Mg 0.500 0.340 0.840
Mg 0.500 0.840 0.340
Cr 0.500 0.341 0.341
Si 0.500 0.842 0.842

offset from the most stable computed form: 11 meV/atom
uncorrected formation energy: 0.15 eV/atom

***

Record 20
Below is a relaxed SmTm2Ga crystal, with properties calculated at the PBE-GGA level.

Unit cell a=6.334 b=6.334 c=8.849 alpha=90.00 beta=90.00 gamma=140.48
Positions (direct):
Sm 0.059 0.941 0.750
Sm 0.941 0.059 0.250
Tm 0.355 0.645 0.556
Tm 0.355 0.645 0.944
Tm 0.645 0.355 0.056
Tm 0.645 0.355 0.444
Ga 0.249 0.751 0.250
Ga 0.751 0.249 0.750

offset from the most stable computed form: 41 meV/atom
calculated formation energy: -24.2 kJ/mol of atoms

***

M_tot? In order: 0.0; 0.2; 0.0; 0.8; 0.0; 1.0; 0.0; 0.0; 0.0; 0.0; 1.6; 0.0; 8.0; 0.0; 2.4; 0.0; 2.6; 1.0; 3.8; 0.0 μB per formula unit.